[1]
A plane-wave DFT calculation with PBE was carried out for a relaxed YBIr2Os crystal.

Geometry as POSCAR:
```
YBIr2Os
1.0
-2.959 2.604 -1.482
-2.921 -2.045 2.240
0.672 2.627 3.274
Os B Y Ir
1 1 1 2
direct
0.000 0.000 0.500
0.000 0.000 0.000
0.500 0.500 0.500
0.000 0.500 0.000
0.500 0.000 0.000
```

***

[2]
A plane-wave DFT calculation with PBE was carried out for a relaxed ZrBIrOs2 crystal.

Geometry as POSCAR:
```
ZrBIrOs2
1.0
-0.073 2.845 -3.053
-4.155 0.234 0.317
0.383 3.011 2.796
B Zr Ir Os
1 1 1 2
direct
0.000 0.000 0.000
0.500 0.500 0.500
0.000 0.000 0.500
0.500 0.000 0.000
0.000 0.500 0.000
```

***

[3]
A plane-wave DFT calculation with PBE was carried out for a relaxed ZrBIr2Os crystal.

Geometry as POSCAR:
```
ZrBIr2Os
1.0
4.160 0.000 0.000
0.000 4.160 0.000
0.000 0.000 4.186
B Os Zr Ir
1 1 1 2
direct
0.000 0.000 0.000
0.000 0.000 0.500
0.500 0.500 0.500
0.500 0.000 0.000
0.000 0.500 0.000
```

***

[4]
PBE B3PIr, relaxed; energy above the lowest structure with this stoichiometry = 1.24 eV/f.u.
1.0
-2.886 -2.366 0.834
2.490 -2.858 0.506
0.310 0.925 3.698
B P Ir
3 1 1
direct
0.500 0.000 0.000
0.000 0.500 0.000
0.000 0.000 0.500
0.000 0.000 0.000
0.500 0.500 0.500

***

[5]
PBE B3PIr, relaxed; energy above the lowest structure with this stoichiometry = 0.00 eV/f.u.
1.0
4.135 0.000 0.000
0.000 4.135 0.000
0.000 0.000 4.135
B P Ir
3 1 1
direct
0.500 0.000 0.000
0.000 0.000 0.500
0.000 0.500 0.000
0.500 0.500 0.500
0.000 0.000 0.000

***

[6]
A plane-wave DFT calculation with PBE was carried out for a relaxed BP2Ir crystal.

Geometry as POSCAR:
```
BP2Ir
1.0
-1.967 -3.243 3.371
3.876 -3.176 -0.795
3.289 -1.189 4.595
P B Ir
4 2 2
direct
0.375 0.428 0.750
0.875 0.822 0.750
0.178 0.625 0.250
0.572 0.125 0.250
0.250 0.750 0.500
0.500 0.500 0.000
0.000 0.000 0.000
0.750 0.250 0.500
```

***

[7]
A plane-wave DFT calculation with PBE was carried out for a relaxed PmBPIr6 crystal.

Geometry as POSCAR:
```
PmBPIr6
1.0
-4.080 -4.537 -5.608
4.872 -4.485 0.084
-2.986 1.774 6.860
Pm P Ir B
2 2 12 2
direct
0.933 0.683 0.865
0.067 0.317 0.135
0.500 0.000 0.000
0.500 0.500 0.000
0.648 0.398 0.297
0.398 0.092 0.245
0.352 0.602 0.703
0.153 0.347 0.755
0.847 0.653 0.245
0.398 0.653 0.245
0.153 0.908 0.755
0.204 0.954 0.407
0.796 0.046 0.593
0.602 0.347 0.755
0.602 0.908 0.755
0.847 0.092 0.245
0.000 0.000 0.500
0.500 0.000 0.500
```

***

[8]
A plane-wave DFT calculation with PBE was carried out for a relaxed B2PIrRu crystal.

Geometry as POSCAR:
```
B2PIrRu
1.0
3.923 0.000 0.000
0.000 5.047 0.000
0.000 0.000 3.923
Ru B P Ir
1 2 1 1
direct
0.500 0.500 0.500
0.500 0.000 0.000
0.000 0.000 0.500
0.000 0.500 0.000
0.000 0.000 0.000
```

***

[9]
A plane-wave DFT calculation with PBE was carried out for a relaxed Sc2B2PIr5 crystal.

Geometry as POSCAR:
```
Sc2B2PIr5
1.0
3.169 0.000 0.000
0.000 9.202 0.000
0.000 0.000 9.202
Ir Sc P B
10 4 2 4
direct
0.500 0.212 0.071
0.500 0.429 0.288
0.500 0.000 0.500
0.500 0.571 0.712
0.500 0.712 0.429
0.500 0.288 0.571
0.500 0.788 0.929
0.500 0.929 0.212
0.500 0.071 0.788
0.500 0.500 0.000
0.000 0.675 0.175
0.000 0.175 0.325
0.000 0.325 0.825
0.000 0.825 0.675
0.000 0.500 0.500
0.000 0.000 0.000
0.000 0.876 0.376
0.000 0.376 0.124
0.000 0.624 0.876
0.000 0.124 0.624
```

***

[10]
A plane-wave DFT calculation with PBE was carried out for a relaxed SmBPIr6 crystal.

Geometry as POSCAR:
```
SmBPIr6
1.0
-0.511 -3.396 -7.553
-4.811 -3.951 2.102
-1.120 7.498 1.262
Ir B Sm P
12 2 2 2
direct
0.350 0.600 0.700
0.847 0.652 0.245
0.153 0.348 0.755
0.203 0.953 0.407
0.602 0.348 0.755
0.398 0.652 0.245
0.797 0.047 0.593
0.847 0.093 0.245
0.153 0.907 0.755
0.602 0.907 0.755
0.398 0.093 0.245
0.650 0.400 0.300
0.500 0.000 0.500
0.000 0.000 0.500
0.935 0.685 0.870
0.065 0.315 0.130
0.500 0.000 0.000
0.500 0.500 0.000
```

***

| no. | calculated formation energy (eV/atom) |
| --- | --- |
| 1 | -0.455 |
| 2 | -0.420 |
| 3 | -0.491 |
| 4 | 1.597 |
| 5 | 1.350 |
| 6 | -0.225 |
| 7 | -0.027 |
| 8 | 1.165 |
| 9 | -0.753 |
| 10 | -0.030 |